Record 1
## CrNi2SnBi (PBE)

Data for an optimized crystal structure of CrNi2SnBi.

Geometry as POSCAR:
```
CrNi2SnBi
1.0
-2.545 2.057 3.378
-4.302 0.932 -3.808
-1.887 -4.162 1.113
Cr Ni Bi Sn
1 2 1 1
Direct
0.500 0.500 0.500
0.000 0.000 0.500
0.500 0.000 0.000
0.000 0.000 0.000
0.000 0.500 0.000
```

Its polymorph energy (0 for the lowest one) is 0.70 eV/f.u.

=====

Record 2
## CrNi2SnBi (PBE)

Data for an optimized crystal structure of CrNi2SnBi.

Geometry as POSCAR:
```
CrNi2SnBi
1.0
4.620 0.000 0.000
0.000 5.800 0.000
0.000 0.000 4.620
Cr Ni Bi Sn
1 2 1 1
Direct
0.500 0.500 0.500
0.000 0.000 0.500
0.500 0.000 0.000
0.000 0.500 0.000
0.000 0.000 0.000
```

Its polymorph energy (0 for the lowest one) is 0.00 eV/f.u.

=====

Record 3
## SrCrNiBi2 (PBE)

Data for an optimized crystal structure of SrCrNiBi2.

Geometry as POSCAR:
```
SrCrNiBi2
1.0
5.294 0.000 0.000
0.000 4.746 0.000
0.000 0.000 5.294
Cr Sr Bi Ni
1 1 2 1
Direct
0.000 0.000 0.000
0.500 0.500 0.500
0.000 0.000 0.500
0.500 0.000 0.000
0.000 0.500 0.000
```

=====

Number 1: calculated formation energy 163 kJ/mol of atoms. Number 2: calculated formation energy 150 kJ/mol of atoms. Number 3: calculated formation energy 25 kJ/mol of atoms.